[1]
The following is a PBE calculation of an optimized crystal structure of Rb2Tl6SnAu, from the Alexandria database.

Summary:
total moment: 0.00 μB/cell
DOS at the Fermi energy: 15.2 states/eV per cell
ΔE_f: -0.332 eV/f.u.

a = 8.4375 Å, b = 8.4375 Å, c = 38.1271 Å
α = 90.00°, β = 90.00°, γ = 120.00°
Space group R-3m (No. 166, hexagonal axes)
One atom of each set of equivalent atoms:
Rb 0.0000 0.0000 0.1486 [6 per cell]
Rb 0.0000 0.0000 0.2912 [6 per cell]
Tl 0.0330 0.5165 0.1153 [18 per cell]
Tl 0.0757 0.5378 0.7265 [18 per cell]
Sn 0.0000 0.0000 0.3858 [6 per cell]
Au 0.0000 0.0000 0.0000 [3 per cell]
Au 0.0000 0.0000 0.5000 [3 per cell]



[2]
The following is a PBE calculation of an optimized crystal structure of Rb2Zn3Sn4Au, from the Alexandria database.

Summary:
total moment: 0.00 μB/cell
DOS at the Fermi energy: 3.5 states/eV per cell
ΔE_f: -1.280 eV/f.u.

a = 4.830 Å, b = 4.830 Å, c = 11.664 Å
α = 90.00°, β = 90.00°, γ = 90.00°
Space group P-4m2 (No. 115)
One atom of each set of equivalent atoms:
Rb 0.000 0.500 0.245 [2 per cell]
Zn 0.000 0.000 0.000 [1 per cell]
Zn 0.000 0.500 0.636 [2 per cell]
Sn 0.000 0.000 0.500 [1 per cell]
Sn 0.000 0.500 0.876 [2 per cell]
Sn 0.500 0.500 0.500 [1 per cell]
Au 0.500 0.500 0.000 [1 per cell]



[3]
The following is a PBE calculation of an optimized crystal structure of Rb3SrAu, from the Alexandria database.

Summary:
total moment: 1.90 μB/cell
DOS at the Fermi energy: 5.8 states/eV per cell
offset from the most stable computed form: 584.6 meV/atom
ΔE_f: 3.013 eV/f.u.

a = 8.150 Å, b = 8.150 Å, c = 8.150 Å
α = 90.00°, β = 90.00°, γ = 90.00°
Space group Pm-3m (No. 221)
One atom of each set of equivalent atoms:
Rb 0.000 0.000 0.500 [3 per cell]
Sr 0.000 0.000 0.000 [1 per cell]
Au 0.500 0.500 0.500 [1 per cell]



[4]
The following is a PBE calculation of an optimized crystal structure of RbSrAu2, from the Alexandria database.

Summary:
total moment: 0.00 μB/cell
DOS at the Fermi energy: 11.5 states/eV per cell
offset from the most stable computed form: 261.2 meV/atom
ΔE_f: -1.096 eV/f.u.

a = 8.680 Å, b = 8.680 Å, c = 8.126 Å
α = 90.00°, β = 90.00°, γ = 90.00°
Space group I-42d (No. 122)
One atom of each set of equivalent atoms:
Rb 0.000 0.000 0.000 [4 per cell]
Sr 0.000 0.000 0.500 [4 per cell]
Au 0.221 0.250 0.625 [8 per cell]



[5]
The following is a PBE calculation of an optimized crystal structure of Rb2Sr4Au, from the Alexandria database.

Summary:
total moment: 0.00 μB/cell
DOS at the Fermi energy: 11.1 states/eV per cell
ΔE_f: -0.790 eV/f.u.

a = 6.224 Å, b = 6.224 Å, c = 22.572 Å
α = 90.00°, β = 90.00°, γ = 90.00°
Space group I4/mmm (No. 139)
One atom of each set of equivalent atoms:
Rb 0.000 0.000 0.167 [4 per cell]
Sr 0.000 0.000 0.365 [4 per cell]
Sr 0.000 0.500 0.000 [4 per cell]
Au 0.000 0.000 0.500 [2 per cell]



[6]
The following is a PBE calculation of an optimized crystal structure of RbSr2Au, from the Alexandria database.

Summary:
total moment: 0.00 μB/cell
DOS at the Fermi energy: 8.9 states/eV per cell
offset from the most stable computed form: 0.0 meV/atom
ΔE_f: -1.506 eV/f.u.

a = 4.6345 Å, b = 4.6345 Å, c = 33.3266 Å
α = 90.00°, β = 90.00°, γ = 120.00°
Space group R3m (No. 160, hexagonal axes)
One atom of each set of equivalent atoms:
Rb 0.0000 0.0000 0.0000 [3 per cell]
Sr 0.0000 0.0000 0.2169 [3 per cell]
Sr 0.0000 0.0000 0.4510 [3 per cell]
Au 0.0000 0.0000 0.8341 [3 per cell]



[7]
The following is a PBE calculation of an optimized crystal structure of RbSr2Au9, from the Alexandria database.

Summary:
total moment: 0.00 μB/cell
DOS at the Fermi energy: 18.5 states/eV per cell
ΔE_f: -4.931 eV/f.u.

a = 5.8819 Å, b = 5.8819 Å, c = 27.8301 Å
α = 90.00°, β = 90.00°, γ = 120.00°
Space group R-3m (No. 166, hexagonal axes)
One atom of each set of equivalent atoms:
Rb 0.0000 0.0000 0.0000 [3 per cell]
Sr 0.0000 0.0000 0.1401 [6 per cell]
Au 0.0000 0.0000 0.3332 [6 per cell]
Au 0.0000 0.0000 0.5000 [3 per cell]
Au 0.0047 0.5024 0.9156 [18 per cell]



[8]
The following is a PBE calculation of an optimized crystal structure of RbSr2Au, from the Alexandria database.

Summary:
total moment: 0.00 μB/cell
DOS at the Fermi energy: 9.5 states/eV per cell
offset from the most stable computed form: 43.3 meV/atom
ΔE_f: -1.332 eV/f.u.

a = 4.5618 Å, b = 4.5618 Å, c = 36.5660 Å
α = 90.00°, β = 90.00°, γ = 120.00°
Space group R-3m (No. 166, hexagonal axes)
One atom of each set of equivalent atoms:
Rb 0.0000 0.0000 0.0000 [3 per cell]
Sr 0.0000 0.0000 0.1203 [6 per cell]
Au 0.0000 0.0000 0.5000 [3 per cell]



[9]
The following is a PBE calculation of an optimized crystal structure of Rb2Sr2Au, from the Alexandria database.

Summary:
total moment: 0.00 μB/cell
DOS at the Fermi energy: 13.7 states/eV per cell
ΔE_f: -0.494 eV/f.u.

a = 8.485 Å, b = 8.485 Å, c = 7.780 Å
α = 90.00°, β = 90.00°, γ = 90.00°
Space group P4/mbm (No. 127)
One atom of each set of equivalent atoms:
Rb 0.179 0.321 0.000 [4 per cell]
Sr 0.178 0.678 0.500 [4 per cell]
Au 0.000 0.000 0.500 [2 per cell]



[10]
The following is a PBE calculation of an optimized crystal structure of RbSrAu4, from the Alexandria database.

Summary:
total moment: 0.00 μB/cell
DOS at the Fermi energy: 23.2 states/eV per cell
ΔE_f: -2.124 eV/f.u.

a = 8.382 Å, b = 8.382 Å, c = 8.382 Å
α = 90.00°, β = 90.00°, γ = 90.00°
Space group F-43m (No. 216)
One atom of each set of equivalent atoms:
Rb 0.000 0.000 0.000 [4 per cell]
Sr 0.250 0.250 0.250 [4 per cell]
Au 0.125 0.125 0.625 [16 per cell]



[11]
The following is a PBE calculation of an optimized crystal structure of RbSrAu2, from the Alexandria database.

Summary:
total moment: 0.00 μB/cell
DOS at the Fermi energy: 1.6 states/eV per cell
offset from the most stable computed form: 100.0 meV/atom
ΔE_f: -1.741 eV/f.u.

a = 5.663 Å, b = 5.663 Å, c = 3.914 Å
α = 90.00°, β = 90.00°, γ = 90.00°
Space group P4/mmm (No. 123)
One atom of each set of equivalent atoms:
Rb 0.000 0.000 0.000 [1 per cell]
Sr 0.500 0.500 0.000 [1 per cell]
Au 0.000 0.500 0.500 [2 per cell]



[12]
The following is a PBE calculation of an optimized crystal structure of RbSr2Au, from the Alexandria database.

Summary:
total moment: 0.00 μB/cell
DOS at the Fermi energy: 30.8 states/eV per cell
offset from the most stable computed form: 368.4 meV/atom
ΔE_f: -0.032 eV/f.u.

a = 8.424 Å, b = 8.424 Å, c = 8.424 Å
α = 90.00°, β = 90.00°, γ = 90.00°
Space group Fm-3m (No. 225)
One atom of each set of equivalent atoms:
Rb 0.000 0.000 0.000 [4 per cell]
Sr 0.250 0.250 0.250 [8 per cell]
Au 0.000 0.000 0.500 [4 per cell]



[13]
The following is a PBE calculation of an optimized crystal structure of Rb3SrAu, from the Alexandria database.

Summary:
total moment: 0.00 μB/cell
DOS at the Fermi energy: 4.9 states/eV per cell
offset from the most stable computed form: 0.0 meV/atom
ΔE_f: 0.090 eV/f.u.

a = 6.866 Å, b = 6.866 Å, c = 6.866 Å
α = 90.00°, β = 90.00°, γ = 90.00°
Space group Pm-3m (No. 221)
One atom of each set of equivalent atoms:
Rb 0.000 0.000 0.500 [3 per cell]
Sr 0.500 0.500 0.500 [1 per cell]
Au 0.000 0.000 0.000 [1 per cell]



[14]
The following is a PBE calculation of an optimized crystal structure of RbSr2Au, from the Alexandria database.

Summary:
total moment: 0.00 μB/cell
DOS at the Fermi energy: 7.9 states/eV per cell
offset from the most stable computed form: 196.5 meV/atom
ΔE_f: -0.720 eV/f.u.

a = 10.343 Å, b = 10.343 Å, c = 7.607 Å
α = 90.00°, β = 90.00°, γ = 90.00°
Space group I-42d (No. 122)
One atom of each set of equivalent atoms:
Rb 0.000 0.000 0.000 [4 per cell]
Sr 0.140 0.750 0.625 [8 per cell]
Au 0.000 0.000 0.500 [4 per cell]



[15]
The following is a PBE calculation of an optimized crystal structure of RbSrAu2, from the Alexandria database.

Summary:
total moment: 0.00 μB/cell
DOS at the Fermi energy: 7.6 states/eV per cell
offset from the most stable computed form: 113.4 meV/atom
ΔE_f: -1.687 eV/f.u.

a = 7.924 Å, b = 7.924 Å, c = 7.924 Å
α = 90.00°, β = 90.00°, γ = 90.00°
Space group Fm-3m (No. 225)
One atom of each set of equivalent atoms:
Rb 0.000 0.000 0.000 [4 per cell]
Sr 0.000 0.000 0.500 [4 per cell]
Au 0.250 0.250 0.250 [8 per cell]



[16]
The following is a PBE calculation of an optimized crystal structure of RbSrAu2, from the Alexandria database.

Summary:
total moment: 0.00 μB/cell
DOS at the Fermi energy: 5.5 states/eV per cell
offset from the most stable computed form: 90.9 meV/atom
ΔE_f: -1.777 eV/f.u.

a = 4.5809 Å, b = 4.5809 Å, c = 24.7190 Å
α = 90.00°, β = 90.00°, γ = 120.00°
Space group R-3m (No. 166, hexagonal axes)
One atom of each set of equivalent atoms:
Rb 0.0000 0.0000 0.0000 [3 per cell]
Sr 0.0000 0.0000 0.5000 [3 per cell]
Au 0.0000 0.0000 0.2373 [6 per cell]



[17]
The following is a PBE calculation of an optimized crystal structure of RbSrAu2, from the Alexandria database.

Summary:
total moment: 0.00 μB/cell
DOS at the Fermi energy: 1.3 states/eV per cell
offset from the most stable computed form: 0.0 meV/atom
ΔE_f: -2.141 eV/f.u.

a = 4.032 Å, b = 4.032 Å, c = 8.168 Å
α = 90.00°, β = 90.00°, γ = 90.00°
Space group P4/mmm (No. 123)
One atom of each set of equivalent atoms:
Rb 0.000 0.000 0.000 [1 per cell]
Sr 0.000 0.000 0.500 [1 per cell]
Au 0.500 0.500 0.309 [2 per cell]



[18]
The following is a PBE calculation of an optimized crystal structure of RbSrAu2, from the Alexandria database.

Summary:
total moment: 0.00 μB/cell
DOS at the Fermi energy: 5.7 states/eV per cell
offset from the most stable computed form: 103.1 meV/atom
ΔE_f: -1.728 eV/f.u.

a = 4.5163 Å, b = 4.5163 Å, c = 25.4236 Å
α = 90.00°, β = 90.00°, γ = 120.00°
Space group R3m (No. 160, hexagonal axes)
One atom of each set of equivalent atoms:
Rb 0.0000 0.0000 0.0000 [3 per cell]
Sr 0.0000 0.0000 0.8298 [3 per cell]
Au 0.0000 0.0000 0.2350 [3 per cell]
Au 0.0000 0.0000 0.4262 [3 per cell]



[19]
The following is a PBE calculation of an optimized crystal structure of RbSr2Au2, from the Alexandria database.

Summary:
total moment: 0.00 μB/cell
DOS at the Fermi energy: 7.9 states/eV per cell
ΔE_f: -2.149 eV/f.u.

a = 5.417 Å, b = 5.417 Å, c = 12.665 Å
α = 90.00°, β = 90.00°, γ = 90.00°
Space group I4/mmm (No. 139)
One atom of each set of equivalent atoms:
Rb 0.000 0.000 0.000 [2 per cell]
Sr 0.000 0.500 0.250 [4 per cell]
Au 0.000 0.000 0.388 [4 per cell]



[20]
The following is a PBE calculation of an optimized crystal structure of RbSr2Au2, from the Alexandria database.

Summary:
total moment: 0.02 μB/cell
DOS at the Fermi energy: 5.3 states/eV per cell
ΔE_f: -1.825 eV/f.u.

a = 5.806 Å, b = 5.806 Å, c = 13.021 Å
α = 90.00°, β = 90.00°, γ = 90.00°
Space group I4/mmm (No. 139)
One atom of each set of equivalent atoms:
Rb 0.000 0.000 0.000 [2 per cell]
Sr 0.000 0.000 0.335 [4 per cell]
Au 0.000 0.500 0.250 [4 per cell]